4
Lattice="-0.084 -2.375 2.731 3.582 -0.444 -0.276 1.087 5.681 4.974" Properties=species:S:1:pos:R:3 comment="TbHoAlIn, optimized geometry, DFT PBE" mass_density_g_cm3=7.7 crystal_system=tetragonal delta_e_f_mev_per_atom=-423 sg=P4mm pbc="T T T"
In 0.935 4.886 4.278
Al 0.385 2.012 1.761
Ho 1.878 -0.737 1.816
Tb 2.396 1.973 4.189